The following is a DFT calculation (PBE+U) of a geometry-optimized MgMnTe2O6 structure.

Unit cell a=6.9574 b=7.0537 c=7.0537 alpha=89.30 beta=72.54 gamma=72.54
Each line ends with the local moment (μB).
Fractional positions:
O  0.8060  0.9896  0.6357  0.02
O  0.6506  0.7890  0.0132  0.02
O  0.1940  0.0104  0.3643  0.02
O  0.5179  0.7503  0.4967  0.00
O  0.1506  0.0132  0.7890  0.02
O  0.8494  0.9868  0.2110  0.02
O  0.3494  0.2110  0.9868  0.02
O  0.6940  0.3643  0.0104  0.02
O  0.0179  0.4967  0.7503  0.00
O  0.4821  0.2497  0.5033  0.00
O  0.9821  0.5033  0.2497  0.00
O  0.3060  0.6357  0.9896  0.02
Mn  0.7500  0.0611  0.9389  4.64
Mn  0.2500  0.9389  0.0611  4.64
Te  0.7781  0.1765  0.4390  0.01
Te  0.2219  0.8235  0.5610  0.01
Te  0.2781  0.4390  0.1765  0.01
Te  0.7219  0.5610  0.8235  0.01
Mg  0.2500  0.2581  0.7419  0.00
Mg  0.7500  0.7419  0.2581  0.00

Calculated values
magnetic moment = 10.000 μB/cell
DFT total energy = -120.1 eV/cell